RbHg12Pd6 | GGA-PBE | relaxed

Density = 11.64 g cm⁻³
Energy of formation from the pure elements = -0.08 eV per atom
Total magnetic moment = 0.00 μB/f.u.
Symmetry = No. 166
E = -1.96 eV per atom

abc: 8.008 8.008 8.008
angles: 105.23 105.23 105.23
Atoms (fractional coordinates):
Rb1 0.000 0.000 0.000
Hg1 0.119 0.500 0.881
Hg2 0.119 0.881 0.500
Hg3 0.139 0.406 0.406
Hg4 0.406 0.139 0.406
Hg5 0.406 0.406 0.139
Hg6 0.500 0.119 0.881
Hg7 0.500 0.881 0.119
Hg8 0.594 0.594 0.861
Hg9 0.594 0.861 0.594
Hg10 0.861 0.594 0.594
Hg11 0.881 0.119 0.500
Hg12 0.881 0.500 0.119
Pd1 0.273 0.273 0.682
Pd2 0.273 0.682 0.273
Pd3 0.318 0.727 0.727
Pd4 0.682 0.273 0.273
Pd5 0.727 0.318 0.727
Pd6 0.727 0.727 0.318